[1]
Material: MgRu3Au
Method: DFT, meta-GGA SCAN
State: PBEsol geometry

Calculated values
V = 22.2 Å³/atom
VASP energy = -169.5 eV for the cell shown
Energy of formation = 9.16 eV per formula unit

a b c (Å): 4.803 4.803 4.803
angles (deg): 90.00 90.00 90.00
Element x y z (fractional)
Ru 0.000 0.000 0.500
Ru 0.000 0.500 0.000
Ru 0.500 0.000 0.000
Au 0.000 0.000 0.000
Mg 0.500 0.500 0.500


[2]
Material: MgRu2Au
Method: DFT, meta-GGA SCAN
State: PBEsol geometry

Calculated values
V = 15.0 Å³/atom
VASP energy = -142.5 eV for the cell shown
Energy of formation = 1.26 eV per formula unit

a b c (Å): 2.763 2.763 9.239
angles (deg): 81.40 81.40 60.00
Element x y z (fractional)
Au 0.500 0.500 0.500
Mg 0.000 0.000 0.000
Ru 0.749 0.749 0.753
Ru 0.251 0.251 0.247


[3]
Material: MgRuW2Au
Method: DFT, meta-GGA SCAN
State: PBEsol geometry

Calculated values
V = 20.1 Å³/atom
VASP energy = -241.0 eV for the cell shown
Energy of formation = 7.35 eV per formula unit

a b c (Å): 4.622 4.622 4.707
angles (deg): 90.00 90.00 90.00
Element x y z (fractional)
W 0.500 0.000 0.000
W 0.000 0.500 0.000
Ru 0.000 0.000 0.000
Au 0.500 0.500 0.500
Mg 0.000 0.000 0.500


[4]
Material: Mg3AuS
Method: DFT, meta-GGA SCAN
State: PBEsol geometry

Calculated values
V = 24.9 Å³/atom
VASP energy = -94.9 eV for the cell shown
Raw formation energy = -0.2335 eV per atom

a b c (Å): 4.992 4.992 4.992
angles (deg): 90.00 90.00 90.00
Element x y z (fractional)
Mg 0.000 0.000 0.500
Mg 0.500 0.000 0.000
Mg 0.000 0.500 0.000
Au 0.000 0.000 0.000
S 0.500 0.500 0.500


[5]
Material: MgSb2Au
Method: DFT, meta-GGA SCAN
State: PBEsol geometry

Calculated values
V = 24.2 Å³/atom
VASP energy = -149.6 eV for the cell shown
Raw formation energy = -0.2292 eV per atom

a b c (Å): 3.926 4.724 6.284
angles (deg): 68.57 71.80 65.45
Element x y z (fractional)
Sb 0.963 0.134 0.941
Sb 0.282 0.119 0.316
Au 0.507 0.457 0.528
Mg 0.748 0.789 0.715


[6]
Material: MgSb2Au
Method: DFT, meta-GGA SCAN
State: PBEsol geometry

Calculated values
V = 23.6 Å³/atom
VASP energy = -149.5 eV for the cell shown
Raw formation energy = -0.1999 eV per atom

a b c (Å): 3.746 4.310 6.509
angles (deg): 109.33 106.72 90.00
Element x y z (fractional)
Sb 0.818 0.818 0.636
Sb 0.182 0.182 0.364
Au 0.500 0.000 0.000
Mg 0.000 0.500 0.000


[7]
Material: Mg2SbAu2
Method: DFT, meta-GGA SCAN
State: PBEsol geometry

Calculated values
V = 19.6 Å³/atom
VASP energy = -376.7 eV for the cell shown
Raw formation energy = -0.5628 eV per atom

a b c (Å): 3.391 7.594 7.594
angles (deg): 90.00 90.00 90.00
Element x y z (fractional)
Au 0.000 0.367 0.867
Au 0.000 0.867 0.633
Au 0.000 0.633 0.133
Au 0.000 0.133 0.367
Mg 0.500 0.339 0.161
Mg 0.500 0.839 0.339
Mg 0.500 0.161 0.661
Mg 0.500 0.661 0.839
Sb 0.000 0.500 0.500
Sb 0.000 0.000 0.000


[8]
Material: Mg2SbAu
Method: DFT, meta-GGA SCAN
State: PBEsol geometry

Calculated values
V = 20.3 Å³/atom
VASP energy = -117.8 eV for the cell shown
Raw formation energy = -0.3621 eV per atom

a b c (Å): 4.150 4.155 5.556
angles (deg): 111.95 111.93 90.00
Element x y z (fractional)
Sb 0.500 0.500 0.000
Au 0.750 0.250 0.499
Mg 0.000 0.000 0.001
Mg 0.250 0.750 0.500


[9]
Material: MgSbAu2
Method: DFT, meta-GGA SCAN
State: PBEsol geometry

Calculated values
V = 20.2 Å³/atom
VASP energy = -182.1 eV for the cell shown
Raw formation energy = -0.3782 eV per atom

a b c (Å): 3.619 4.227 5.584
angles (deg): 90.00 108.91 90.00
Element x y z (fractional)
Mg 0.483 0.000 0.967
Au 0.036 0.500 0.072
Au 0.213 0.000 0.426
Sb 0.779 0.500 0.558


[10]
Material: MgSbAu
Method: DFT, meta-GGA SCAN
State: PBEsol geometry

Calculated values
V = 20.9 Å³/atom
VASP energy = -112.2 eV for the cell shown
Raw formation energy = -0.2855 eV per atom

a b c (Å): 3.240 3.240 6.402
angles (deg): 104.66 104.66 90.00
Element x y z (fractional)
Au 0.983 0.983 0.967
Sb 0.662 0.662 0.324
Mg 0.355 0.355 0.709


[11]
Material: MgSb2Au
Method: DFT, meta-GGA SCAN
State: PBEsol geometry

Calculated values
V = 22.3 Å³/atom
VASP energy = -148.8 eV for the cell shown
Raw formation energy = -0.0479 eV per atom

a b c (Å): 4.202 4.202 5.866
angles (deg): 110.98 110.98 90.00
Element x y z (fractional)
Sb 0.750 0.250 0.500
Sb 0.000 0.000 0.000
Mg 0.250 0.750 0.500
Au 0.500 0.500 0.000


[12]
Material: MgSbAu2
Method: DFT, meta-GGA SCAN
State: PBEsol geometry

Calculated values
V = 19.4 Å³/atom
VASP energy = -181.9 eV for the cell shown
Raw formation energy = -0.3348 eV per atom

a b c (Å): 3.643 3.662 5.809
angles (deg): 90.00 90.00 90.00
Element x y z (fractional)
Au 0.000 0.000 0.236
Au 0.000 0.000 0.764
Sb 0.500 0.500 0.500
Mg 0.500 0.500 0.000


[13]
Material: MgSnSb2Au
Method: DFT, meta-GGA SCAN
State: PBEsol geometry

Calculated values
V = 31.7 Å³/atom
VASP energy = -180.3 eV for the cell shown
Raw formation energy = 0.8465 eV per atom

a b c (Å): 5.145 5.548 5.548
angles (deg): 90.00 90.00 90.00
Element x y z (fractional)
Sn 0.000 0.000 0.000
Au 0.500 0.500 0.500
Sb 0.000 0.000 0.500
Sb 0.000 0.500 0.000
Mg 0.500 0.000 0.000


[14]
Material: MgSbTe2Au
Method: DFT, meta-GGA SCAN
State: PBEsol geometry

Calculated values
V = 29.2 Å³/atom
VASP energy = -182.4 eV for the cell shown
Raw formation energy = 0.6920 eV per atom

a b c (Å): 5.266 5.269 5.269
angles (deg): 90.00 90.00 90.00
Element x y z (fractional)
Au 0.500 0.500 0.500
Sb 0.500 0.000 0.000
Te 0.000 0.500 0.000
Te 0.000 0.000 0.500
Mg 0.000 0.000 0.000


[15]
Material: Mg2ScAu
Method: DFT, meta-GGA SCAN
State: PBEsol geometry

Calculated values
V = 19.4 Å³/atom
VASP energy = -95.5 eV for the cell shown
Energy of formation = -2.16 eV per formula unit

a b c (Å): 4.100 4.100 4.611
angles (deg): 90.00 90.00 90.00
Element x y z (fractional)
Sc 0.500 0.500 0.500
Mg 0.000 0.500 0.000
Mg 0.500 0.000 0.000
Au 0.000 0.000 0.500


Per-record Fermi-level density of states, states/eV/f.u.: 5.0, 3.9, 4.3, 2.2, 1.5, 1.6, 1.5, 1.2, 1.2, 1.1, 1.4, 1.3, 4.0, 4.3, 2.0